1.
Compound: SrGaAs2Se8
Source: the Alexandria database
Functional: PBE
Structure: relaxed

E_form (uncorrected)   -328 meV per atom

a = 6.4975 Å, b = 6.4975 Å, c = 9.2681 Å
α = 90.00°, β = 90.00°, γ = 120.00°
Last column: nearest neighbours and their distance in Å.
Space group P-3 (No. 147)
Asymmetric unit:
Sr: 0.0000 0.0000 0.0000 [1 per cell]  6 Se 3.33
Ga: 0.0000 0.0000 0.5000 [1 per cell]  6 Se 2.59
As: 0.3333 0.6667 0.7487 [2 per cell]  4 Se 2.35-2.43
Se: 0.0049 0.7232 0.3009 [6 per cell]  1 As 2.43, 1 Ga 2.59
Se: 0.3333 0.6667 0.0019 [2 per cell]  1 As 2.35


2.
Compound: YZn2Rh
Source: the Alexandria database
Functional: PBE
Structure: relaxed

ΔE_f   -9.180 kcal/mol of atoms

a = 3.3150 Å, b = 3.3150 Å, c = 6.6003 Å
α = 90.00°, β = 90.00°, γ = 90.00°
Last column: nearest neighbours and their distance in Å.
Space group P4mm (No. 99)
Asymmetric unit:
Y: 0.0000 0.0000 0.0000 [1 per cell]  4 Rh 2.92, 5 Zn 3.06-3.18
Zn: 0.0000 0.0000 0.5365 [1 per cell]  4 Rh 2.69, 4 Zn 2.72
Zn: 0.5000 0.5000 0.3262 [1 per cell]  1 Rh 2.71, 4 Zn 2.72
Rh: 0.5000 0.5000 0.7368 [1 per cell]  5 Zn 2.69-2.71, 4 Y 2.92


3.
Compound: Tb12Zn3O5
Source: the Alexandria database
Functional: PBE
Structure: relaxed

E_form (uncorrected)   -1492 meV per atom

a = 15.3764 Å, b = 15.3764 Å, c = 15.3764 Å
α = 90.00°, β = 90.00°, γ = 90.00°
Last column: nearest neighbours and their distance in Å.
Space group Ia-3d (No. 230)
Asymmetric unit:
Tb: 0.0378 0.0528 0.6489 [96 per cell]  1 O 2.21
Zn: 0.0000 0.2500 0.1250 [24 per cell]  8 Tb 3.06-3.11
O: 0.0000 0.0000 0.0000 [16 per cell]  6 Tb 2.50
O: 0.0000 0.2500 0.3750 [24 per cell]  4 Tb 2.21


4.
Compound: AsSe2IBr
Source: the Alexandria database
Functional: PBE
Structure: relaxed

Offset from the most stable computed form   3.06 eV per formula unit
E_form (uncorrected)   996 meV per atom

a = 5.3356 Å, b = 5.3356 Å, c = 5.8082 Å
α = 90.00°, β = 90.00°, γ = 90.00°
Last column: nearest neighbours and their distance in Å.
Space group P4/mmm (No. 123)
Asymmetric unit:
As: 0.0000 0.0000 0.0000 [1 per cell]  2 I 2.90
Se: 0.0000 0.5000 0.5000 [2 per cell]  2 I 2.67
I: 0.0000 0.0000 0.5000 [1 per cell]  4 Se 2.67, 2 As 2.90
Br: 0.5000 0.5000 0.0000 [1 per cell]  4 As 3.77, 8 Se 3.94


5.
Compound: AlAs2Br
Source: the Alexandria database
Functional: PBE
Structure: relaxed

Offset from the most stable computed form   1.41 eV per formula unit
E_form (uncorrected)   130 meV per atom

a = 3.2238 Å, b = 4.7896 Å, c = 10.8375 Å
α = 90.00°, β = 90.00°, γ = 90.00°
Last column: nearest neighbours and their distance in Å.
Space group Immm (No. 71)
Asymmetric unit:
Al: 0.0000 0.0000 0.0000 [2 per cell]  4 As 2.76, 4 Br 2.89
As: 0.0000 0.5000 0.2934 [4 per cell]  2 Al 2.76, 4 As 3.04
Br: 0.0000 0.0000 0.5000 [2 per cell]  4 Al 2.89, 2 Br 3.22


6.
Compound: Ac4CSBr2
Source: the Alexandria database
Functional: PBE
Structure: relaxed

E_form (uncorrected)   -1161 meV per atom

a = 7.4005 Å, b = 4.1476 Å, c = 8.1398 Å
α = 90.00°, β = 106.74°, γ = 90.00°
Last column: nearest neighbours and their distance in Å.
Space group P2/m (No. 10)
Asymmetric unit:
Ac: 0.2103 0.0000 0.1924 [2 per cell]  2 C 2.79, 1 S 3.00
Ac: 0.2406 0.5000 0.7996 [2 per cell]  1 C 2.74, 2 S 2.97
C: 0.0000 0.5000 0.0000 [1 per cell]  6 Ac 2.74-2.79
S: 0.5000 0.0000 0.0000 [1 per cell]  6 Ac 2.97-3.00
Br: 0.0000 0.0000 0.5000 [1 per cell]  6 Ac 3.30-3.31
Br: 0.5000 0.5000 0.5000 [1 per cell]  6 Ac 3.47-3.51


7.
Compound: PrY2ZrP4
Source: the Alexandria database
Functional: PBE
Structure: relaxed

ΔE_f   -34.594 kcal/mol of atoms

a = 6.8894 Å, b = 3.9836 Å, c = 6.9146 Å
α = 90.00°, β = 109.24°, γ = 90.00°
Last column: nearest neighbours and their distance in Å.
Space group P2/m (No. 10)
Asymmetric unit:
Pr: 0.0000 0.0000 0.0000 [1 per cell]  6 P 2.86-2.87
Y: 0.5000 0.0000 0.5000 [1 per cell]  6 P 2.77-2.78
Y: 0.5000 0.5000 0.0000 [1 per cell]  6 P 2.89
Zr: 0.0000 0.5000 0.5000 [1 per cell]  6 P 2.74-2.76
P: 0.2420 0.0000 0.7345 [2 per cell]  2 Zr 2.76, 3 Y 2.77-2.89, 1 Pr 2.86
P: 0.2511 0.5000 0.2645 [2 per cell]  1 Zr 2.74, 3 Y 2.78-2.89, 2 Pr 2.87


8.
Compound: LiB2C2
Source: the Alexandria database
Functional: PBE
Structure: relaxed

Offset from the most stable computed form   0.23 eV per formula unit
ΔE_f   -0.557 kcal/mol of atoms

a = 15.6675 Å, b = 2.6885 Å, c = 9.4081 Å
α = 90.00°, β = 108.19°, γ = 90.00°
Last column: nearest neighbours and their distance in Å.
Space group Cm (No. 8)
Asymmetric unit:
Li: 0.0000 0.0000 0.0000 [2 per cell]  6 C 2.37-2.52, 6 B 2.38-2.50
Li: 0.0052 0.5000 0.7126 [2 per cell]  6 C 2.32-2.44, 6 B 2.36-2.43
Li: 0.2476 0.0000 0.0760 [2 per cell]  6 C 2.32-2.47, 6 B 2.35-2.53
Li: 0.2572 0.5000 0.3699 [2 per cell]  6 C 2.30-2.55, 6 B 2.34-2.44
B: 0.1198 0.5000 0.9555 [2 per cell]  3 C 1.56
B: 0.1302 0.0000 0.7123 [2 per cell]  3 C 1.55-1.56
B: 0.1325 0.0000 0.2145 [2 per cell]  3 C 1.55-1.58
B: 0.1370 0.5000 0.4674 [2 per cell]  3 C 1.54-1.57
B: 0.3680 0.5000 0.2361 [2 per cell]  3 C 1.55-1.57
B: 0.3725 0.0000 0.9877 [2 per cell]  3 C 1.55-1.57
B: 0.3812 0.0000 0.4925 [2 per cell]  3 C 1.55-1.57
B: 0.3854 0.5000 0.7456 [2 per cell]  3 C 1.55-1.57
C: 0.1184 0.0000 0.8701 [2 per cell]  3 B 1.55-1.56
C: 0.1281 0.5000 0.1251 [2 per cell]  3 B 1.56-1.58
C: 0.1324 0.5000 0.6290 [2 per cell]  3 B 1.54-1.56
C: 0.1404 0.0000 0.3828 [2 per cell]  3 B 1.55-1.57
C: 0.3661 0.0000 0.3212 [2 per cell]  3 B 1.55-1.57
C: 0.3672 0.5000 0.0710 [2 per cell]  3 B 1.55-1.57
C: 0.3862 0.5000 0.5810 [2 per cell]  3 B 1.55-1.57
C: 0.3875 0.0000 0.8325 [2 per cell]  3 B 1.55-1.57


9.
Compound: LiTh2Br8
Source: the Alexandria database
Functional: PBE
Structure: relaxed

Offset from the most stable computed form   0.55 eV per formula unit
E_form (uncorrected)   -1505 meV per atom

a = 9.1431 Å, b = 12.5719 Å, c = 6.0157 Å
α = 90.00°, β = 104.16°, γ = 90.00°
Last column: nearest neighbours and their distance in Å.
Space group C2/m (No. 12)
Asymmetric unit:
Li: 0.0000 0.0000 0.0000 [2 per cell]  2 Br 2.75
Th: 0.0000 0.3187 0.5000 [4 per cell]  8 Br 2.97-3.26
Br: 0.0000 0.2189 0.0000 [4 per cell]  1 Li 2.75
Br: 0.1254 0.5000 0.8098 [4 per cell]  2 Th 2.99, 1 Li 3.34
Br: 0.2033 0.1317 0.6067 [8 per cell]  2 Th 2.97-3.00, 1 Br 3.31


10.
Compound: TcSbP2
Source: the Alexandria database
Functional: PBE
Structure: relaxed

E_form (uncorrected)   748 meV per atom

a = 3.8720 Å, b = 3.8720 Å, c = 4.5500 Å
α = 90.00°, β = 90.00°, γ = 90.00°
Last column: nearest neighbours and their distance in Å.
Space group P4/mmm (No. 123)
Asymmetric unit:
Tc: 0.0000 0.0000 0.0000 [1 per cell]  4 Sb 2.74, 8 P 2.99
Sb: 0.5000 0.5000 0.0000 [1 per cell]  4 Tc 2.74, 8 P 2.99
P: 0.0000 0.5000 0.5000 [2 per cell]  4 P 2.74, 4 Tc 2.99, 4 Sb 2.99


11.
Compound: TiTeI2Br
Source: the Alexandria database
Functional: PBE
Structure: relaxed

Offset from the most stable computed form   0.00 eV per formula unit
E_form (uncorrected)   -213 meV per atom

a = 5.4280 Å, b = 5.4280 Å, c = 5.4662 Å
α = 90.00°, β = 90.00°, γ = 90.00°
Last column: nearest neighbours and their distance in Å.
Space group P4/mmm (No. 123)
Asymmetric unit:
Ti: 0.0000 0.0000 0.0000 [1 per cell]  4 I 2.71, 2 Te 2.73
Te: 0.0000 0.0000 0.5000 [1 per cell]  2 Ti 2.73
I: 0.0000 0.5000 0.0000 [2 per cell]  2 Ti 2.71
Br: 0.5000 0.5000 0.5000 [1 per cell]  4 Te 3.84, 8 I 3.85


12.
Compound: Li4SmPu3Se8
Source: the Alexandria database
Functional: PBE
Structure: relaxed

E_form (uncorrected)   -1464 meV per atom

a = 8.2784 Å, b = 8.2784 Å, c = 19.3426 Å
α = 90.00°, β = 90.00°, γ = 120.00°
Last column: nearest neighbours and their distance in Å.
Space group R-3m (No. 166, hexagonal axes)
Asymmetric unit:
Li: 0.0000 0.0000 0.0000 [3 per cell]  6 Se 2.85
Li: 0.0000 0.5000 0.0000 [9 per cell]  6 Se 2.87-2.88
Sm: 0.0000 0.0000 0.5000 [3 per cell]  6 Se 2.92
Pu: 0.0000 0.5000 0.5000 [9 per cell]  6 Se 2.89-2.90
Se: 0.0000 0.0000 0.2506 [6 per cell]  3 Li 2.88, 3 Pu 2.89
Se: 0.0022 0.5011 0.7478 [18 per cell]  3 Li 2.85-2.87, 2 Pu 2.90, 1 Sm 2.92


13.
Compound: Mn2CdIn
Source: the Alexandria database
Functional: PBE
Structure: relaxed

ΔE_f   6.907 kcal/mol of atoms

a = 3.9965 Å, b = 3.9965 Å, c = 8.9653 Å
α = 90.00°, β = 90.00°, γ = 90.00°
Last column: nearest neighbours and their distance in Å.
Space group I-4m2 (No. 119)
Asymmetric unit:
Mn: 0.0000 0.0000 0.0000 [2 per cell]  4 In 2.83, 4 Cd 3.00, 4 Mn 3.00
Mn: 0.0000 0.5000 0.2500 [2 per cell]  4 Cd 2.83, 4 In 3.00, 4 Mn 3.00
Cd: 0.0000 0.5000 0.7500 [2 per cell]  8 Mn 2.83-3.00, 4 In 3.00
In: 0.0000 0.0000 0.5000 [2 per cell]  8 Mn 2.83-3.00, 4 Cd 3.00


14.
Compound: Pm3YCu2
Source: the Alexandria database
Functional: PBE
Structure: relaxed

ΔE_f   -2.807 kcal/mol of atoms

a = 5.0028 Å, b = 8.9312 Å, c = 7.0099 Å
α = 90.00°, β = 90.00°, γ = 90.00°
Last column: nearest neighbours and their distance in Å.
Space group Pmc2_1 (No. 26)
Asymmetric unit:
Pm: 0.0000 0.0795 0.0000 [2 per cell]  3 Cu 2.91-3.11
Pm: 0.0000 0.3381 0.3654 [2 per cell]  4 Cu 2.85-3.10
Pm: 0.5000 0.1614 0.6527 [2 per cell]  4 Cu 2.86-3.13
Y: 0.5000 0.4256 0.0190 [2 per cell]  3 Cu 2.88-3.11
Cu: 0.0000 0.3511 0.7719 [2 per cell]  5 Pm 2.85-3.13, 2 Y 3.11
Cu: 0.5000 0.1568 0.2454 [2 per cell]  6 Pm 2.86-3.11, 1 Y 2.88


15.
Compound: Cu7GeAu12
Source: the Alexandria database
Functional: PBE
Structure: relaxed

ΔE_f   0.505 kcal/mol of atoms

a = 11.7311 Å, b = 11.7311 Å, c = 8.2696 Å
α = 90.00°, β = 90.00°, γ = 120.00°
Last column: nearest neighbours and their distance in Å.
Space group R-3 (No. 148, hexagonal axes)
Asymmetric unit:
Cu: 0.0000 0.0000 0.0000 [3 per cell]  6 Au 2.72
Cu: 0.0637 0.2397 0.4175 [18 per cell]  1 Ge 2.61, 7 Au 2.66-2.82, 3 Cu 2.70-2.87
Ge: 0.0000 0.0000 0.5000 [3 per cell]  6 Cu 2.61
Au: 0.0491 0.2119 0.7396 [18 per cell]  4 Cu 2.66-2.82, 5 Au 2.84-2.91
Au: 0.0563 0.2459 0.0875 [18 per cell]  4 Cu 2.68-2.73, 7 Au 2.84-2.99


16.
Compound: TaBe2NiBr
Source: the Alexandria database
Functional: PBE
Structure: relaxed

E_form (uncorrected)   623 meV per atom

a = 4.1221 Å, b = 4.1221 Å, c = 4.7014 Å
α = 90.00°, β = 90.00°, γ = 90.00°
Last column: nearest neighbours and their distance in Å.
Space group P4/mmm (No. 123)
Asymmetric unit:
Ta: 0.0000 0.0000 0.0000 [1 per cell]  2 Ni 2.35
Be: 0.0000 0.5000 0.5000 [2 per cell]  2 Ni 2.06
Ni: 0.0000 0.0000 0.5000 [1 per cell]  4 Be 2.06
Br: 0.5000 0.5000 0.0000 [1 per cell]  4 Ta 2.91, 8 Be 3.13


17.
Compound: BeNi4As
Source: the Alexandria database
Functional: PBE
Structure: relaxed

Offset from the most stable computed form   1.85 eV per formula unit
ΔE_f   4.339 kcal/mol of atoms

a = 6.6091 Å, b = 6.6091 Å, c = 6.6091 Å
α = 90.00°, β = 90.00°, γ = 90.00°
Last column: nearest neighbours and their distance in Å.
Space group F-43m (No. 216)
Asymmetric unit:
Be: 0.0000 0.0000 0.0000 [4 per cell]  12 Ni 2.74, 4 As 2.86
Ni: 0.1254 0.1254 0.6254 [16 per cell]  6 Ni 2.33-2.34
As: 0.2500 0.2500 0.2500 [4 per cell]  12 Ni 2.74, 4 Be 2.86


18.
Compound: Nd6ZnRu2Br3
Source: the Alexandria database
Functional: PBE
Structure: relaxed

E_form (uncorrected)   -785 meV per atom

a = 7.1901 Å, b = 12.4554 Å, c = 8.2173 Å
α = 90.00°, β = 106.92°, γ = 90.00°
Last column: nearest neighbours and their distance in Å.
Space group C2/m (No. 12)
Asymmetric unit:
Nd: 0.2110 0.0000 0.2004 [4 per cell]  2 Ru 2.80, 1 Zn 3.00
Nd: 0.2448 0.3221 0.2005 [8 per cell]  2 Ru 2.80-2.81, 1 Zn 3.01
Zn: 0.0000 0.5000 0.0000 [2 per cell]  6 Nd 3.00-3.01
Ru: 0.0000 0.1665 0.0000 [4 per cell]  6 Nd 2.80-2.81
Br: 0.0000 0.0000 0.5000 [2 per cell]  6 Nd 3.25-3.42
Br: 0.0000 0.3325 0.5000 [4 per cell]  6 Nd 3.24-3.43


19.
Compound: Tc2AsOs
Source: the Alexandria database
Functional: PBE
Structure: relaxed

ΔE_f   2.272 kcal/mol of atoms

a = 2.8155 Å, b = 2.8155 Å, c = 25.5469 Å
α = 90.00°, β = 90.00°, γ = 120.00°
Last column: nearest neighbours and their distance in Å.
Space group R-3m (No. 166, hexagonal axes)
Asymmetric unit:
Tc: 0.0000 0.0000 0.2484 [6 per cell]  3 As 2.65, 3 Os 2.71, 6 Tc 2.82
As: 0.0000 0.0000 0.5000 [3 per cell]  6 Tc 2.65, 6 As 2.82
Os: 0.0000 0.0000 0.0000 [3 per cell]  6 Tc 2.71, 6 Os 2.82


20.
Compound: K2PdBr4
Source: the Alexandria database
Functional: PBE
Structure: relaxed

Offset from the most stable computed form   0.00 eV per formula unit
E_form (uncorrected)   -1163 meV per atom

a = 7.5220 Å, b = 7.5220 Å, c = 4.4030 Å
α = 90.00°, β = 90.00°, γ = 90.00°
Last column: nearest neighbours and their distance in Å.
Space group P4/mmm (No. 123)
Asymmetric unit:
K: 0.0000 0.5000 0.0000 [2 per cell]  8 Br 3.46
Pd: 0.0000 0.0000 0.5000 [1 per cell]  4 Br 2.48
Br: 0.2328 0.2328 0.5000 [4 per cell]  1 Pd 2.48


Number 1: VASP energy -45.81 eV for the cell shown. Number 2: VASP energy -17.96 eV for the cell shown. Number 3: VASP energy -912.17 eV for the cell shown. Number 4: VASP energy -9.86 eV for the cell shown. Number 5: VASP energy -28.39 eV for the cell shown. Number 6: VASP energy -42.42 eV for the cell shown. Number 7: VASP energy -59.90 eV for the cell shown. Number 8: VASP energy -270.70 eV for the cell shown. Number 9: VASP energy -93.38 eV for the cell shown. Number 10: VASP energy -22.32 eV for the cell shown. Number 11: VASP energy -16.88 eV for the cell shown. Number 12: VASP energy -320.02 eV for the cell shown. Number 13: VASP energy -41.59 eV for the cell shown. Number 14: VASP energy -59.28 eV for the cell shown. Number 15: VASP energy -216.54 eV for the cell shown. Number 16: VASP energy -23.65 eV for the cell shown. Number 17: VASP energy -121.49 eV for the cell shown. Number 18: VASP energy -125.75 eV for the cell shown. Number 19: VASP energy -108.65 eV for the cell shown. Number 20: VASP energy -22.22 eV for the cell shown.